1.
This record from the Alexandria database describes a relaxed structure of Pu2MnZnGa6. The functional is PBE-GGA.

* uncorrected energy: -58.89 eV per formula unit
* Fermi-level density of states: 131.9 states/eV per cell
* formation enthalpy at 0 K: -0.16 eV per atom

Cell and atoms, written as CIF:
```
data_Pu2MnZnGa6
_symmetry_space_group_name_H-M 'R -3 m'
_symmetry_Int_Tables_number 166
_symmetry_space_group_name_Hall '-R 3 2"'
_cell_length_a 6.2607
_cell_length_b 6.2607
_cell_length_c 34.0436
_cell_angle_alpha 90.00
_cell_angle_beta 90.00
_cell_angle_gamma 120.00
loop_
_atom_site_label
_atom_site_type_symbol
_atom_site_fract_x
_atom_site_fract_y
_atom_site_fract_z
Pu1 Pu 0.0000 0.0000 0.1115
Pu2 Pu 0.0000 0.0000 0.2842
Mn1 Mn 0.0000 0.0000 0.0000
Mn2 Mn 0.0000 0.0000 0.5000
Zn1 Zn 0.0000 0.0000 0.4260
Ga1 Ga 0.0441 0.5220 0.2992
Ga2 Ga 0.0605 0.5303 0.8670
```



2.
This record from the Alexandria database describes a relaxed structure of Li3MoBr. The functional is PBE-GGA.

* E above lowest polymorph: 0.435 eV/atom
* uncorrected energy: -13.87 eV per formula unit
* Fermi-level density of states: 2.3 states/eV per cell
* energy relative to the elements, uncorrected: 0.876 eV per atom

Cell and atoms, written as CIF:
```
data_Li3MoBr
_symmetry_space_group_name_H-M 'P m -3 m'
_symmetry_Int_Tables_number 221
_symmetry_space_group_name_Hall '-P 4 2 3'
_cell_length_a 5.296
_cell_length_b 5.296
_cell_length_c 5.296
_cell_angle_alpha 90.00
_cell_angle_beta 90.00
_cell_angle_gamma 90.00
loop_
_atom_site_label
_atom_site_type_symbol
_atom_site_fract_x
_atom_site_fract_y
_atom_site_fract_z
Li1 Li 0.000 0.000 0.500
Mo1 Mo 0.000 0.000 0.000
Br1 Br 0.500 0.500 0.500
```



3.
This record from the Alexandria database describes a relaxed structure of Tl2WBr. The functional is PBE-GGA.

* E above lowest polymorph: 0.648 eV/atom
* uncorrected energy: -14.83 eV per formula unit
* Fermi-level density of states: 4.5 states/eV per cell
* energy relative to the elements, uncorrected: 1.133 eV per atom

Cell and atoms, written as CIF:
```
data_Tl2WBr
_symmetry_space_group_name_H-M 'F -4 3 m'
_symmetry_Int_Tables_number 216
_symmetry_space_group_name_Hall 'F -4 2 3'
_cell_length_a 7.359
_cell_length_b 7.359
_cell_length_c 7.359
_cell_angle_alpha 90.00
_cell_angle_beta 90.00
_cell_angle_gamma 90.00
loop_
_atom_site_label
_atom_site_type_symbol
_atom_site_fract_x
_atom_site_fract_y
_atom_site_fract_z
Tl1 Tl 0.000 0.000 0.000
Tl2 Tl 0.250 0.250 0.250
W1 W 0.250 0.250 0.750
Br1 Br 0.000 0.000 0.500
```



4.
This record from the Alexandria database describes a relaxed structure of RbSm2PtO5. The functional is PBE-GGA.

* uncorrected energy: -59.97 eV per formula unit
* Fermi-level density of states: 18.5 states/eV per cell
* energy relative to the elements, uncorrected: -2.081 eV per atom

Cell and atoms, written as CIF:
```
data_RbSm2PtO5
_symmetry_space_group_name_H-M 'I 4/m c m'
_symmetry_Int_Tables_number 140
_symmetry_space_group_name_Hall '-I 4 2c'
_cell_length_a 6.773
_cell_length_b 6.773
_cell_length_c 12.189
_cell_angle_alpha 90.00
_cell_angle_beta 90.00
_cell_angle_gamma 90.00
loop_
_atom_site_label
_atom_site_type_symbol
_atom_site_fract_x
_atom_site_fract_y
_atom_site_fract_z
Rb1 Rb 0.000 0.000 0.250
Sm1 Sm 0.176 0.324 0.000
Pt1 Pt 0.000 0.500 0.250
O1 O 0.000 0.000 0.000
O2 O 0.128 0.372 0.384
```



5.
This record from the Alexandria database describes a relaxed structure of InPdAu3. The functional is PBE-GGA.

* E above lowest polymorph: 0.695 eV/atom
* uncorrected energy: -15.37 eV per formula unit
* Fermi-level density of states: 2.1 states/eV per cell
* formation enthalpy at 0 K: 0.48 eV per atom

Cell and atoms, written as CIF:
```
data_InPdAu3
_symmetry_space_group_name_H-M 'P m -3 m'
_symmetry_Int_Tables_number 221
_symmetry_space_group_name_Hall '-P 4 2 3'
_cell_length_a 5.093
_cell_length_b 5.093
_cell_length_c 5.093
_cell_angle_alpha 90.00
_cell_angle_beta 90.00
_cell_angle_gamma 90.00
loop_
_atom_site_label
_atom_site_type_symbol
_atom_site_fract_x
_atom_site_fract_y
_atom_site_fract_z
In1 In 0.000 0.000 0.000
Pd1 Pd 0.500 0.500 0.500
Au1 Au 0.000 0.500 0.500
```



6.
This record from the Alexandria database describes a relaxed structure of CsNiOsRu2. The functional is PBE-GGA.

* uncorrected energy: -24.16 eV per formula unit
* Fermi-level density of states: 6.1 states/eV per cell
* formation enthalpy at 0 K: 2.45 eV per atom

Cell and atoms, written as CIF:
```
data_CsNiOsRu2
_symmetry_space_group_name_H-M 'P 4/m m m'
_symmetry_Int_Tables_number 123
_symmetry_space_group_name_Hall '-P 4 2'
_cell_length_a 4.641
_cell_length_b 4.641
_cell_length_c 5.075
_cell_angle_alpha 90.00
_cell_angle_beta 90.00
_cell_angle_gamma 90.00
loop_
_atom_site_label
_atom_site_type_symbol
_atom_site_fract_x
_atom_site_fract_y
_atom_site_fract_z
Cs1 Cs 0.000 0.000 0.000
Ni1 Ni 0.000 0.000 0.500
Os1 Os 0.500 0.500 0.000
Ru1 Ru 0.000 0.500 0.500
```



7.
This record from the Alexandria database describes a relaxed structure of AgH2Ru. The functional is PBE-GGA.

* E above lowest polymorph: 0.001 eV/atom
* uncorrected energy: -18.06 eV per formula unit
* Fermi-level density of states: 6.6 states/eV per cell

Cell and atoms, written as CIF:
```
data_AgH2Ru
_symmetry_space_group_name_H-M 'R 3 m'
_symmetry_Int_Tables_number 160
_symmetry_space_group_name_Hall 'R 3 -2"'
_cell_length_a 2.8661
_cell_length_b 2.8661
_cell_length_c 16.2811
_cell_angle_alpha 90.00
_cell_angle_beta 90.00
_cell_angle_gamma 120.00
loop_
_atom_site_label
_atom_site_type_symbol
_atom_site_fract_x
_atom_site_fract_y
_atom_site_fract_z
Ag1 Ag 0.0000 0.0000 0.0000
H1 H 0.0000 0.0000 0.2113
H2 H 0.0000 0.0000 0.4405
Ru1 Ru 0.0000 0.0000 0.8247
```



8.
This record from the Alexandria database describes a relaxed structure of ZnGeAsIrAu. The functional is PBE-GGA.

* E above lowest polymorph: 0.140 eV/atom
* uncorrected energy: -22.56 eV per formula unit
* Fermi-level density of states: 4.4 states/eV per cell
* formation enthalpy at 0 K: 0.02 eV per atom

Cell and atoms, written as CIF:
```
data_ZnGeAsIrAu
_symmetry_space_group_name_H-M 'C 1 m 1'
_symmetry_Int_Tables_number 8
_cell_length_a 9.041
_cell_length_b 3.468
_cell_length_c 6.073
_cell_angle_alpha 90.00
_cell_angle_beta 99.21
_cell_angle_gamma 90.00
loop_
_symmetry_equiv_pos_as_xyz
'x,y,z'
'x,-y,z'
'x+1/2,y+1/2,z'
'x+1/2,-y+1/2,z'
loop_
_atom_site_label
_atom_site_type_symbol
_atom_site_fract_x
_atom_site_fract_y
_atom_site_fract_z
Zn1 Zn 0.000 0.000 0.000
Ge1 Ge 0.389 0.500 0.407
As1 As 0.134 0.000 0.659
Ir1 Ir 0.109 0.500 0.360
Au1 Au 0.292 0.000 0.073
```



9.
This record from the Alexandria database describes a relaxed structure of Nb2ZnB2. The functional is PBE-GGA.

* uncorrected energy: -36.90 eV per formula unit
* Fermi-level density of states: 4.1 states/eV per cell
* formation enthalpy at 0 K: -0.43 eV per atom

Cell and atoms, written as CIF:
```
data_Nb2ZnB2
_symmetry_space_group_name_H-M 'P 4/m b m'
_symmetry_Int_Tables_number 127
_symmetry_space_group_name_Hall '-P 4 2ab'
_cell_length_a 5.957
_cell_length_b 5.957
_cell_length_c 3.377
_cell_angle_alpha 90.00
_cell_angle_beta 90.00
_cell_angle_gamma 90.00
loop_
_atom_site_label
_atom_site_type_symbol
_atom_site_fract_x
_atom_site_fract_y
_atom_site_fract_z
Nb1 Nb 0.180 0.320 0.000
Zn1 Zn 0.000 0.000 0.500
B1 B 0.104 0.604 0.500
```



10.
This record from the Alexandria database describes a relaxed structure of SrCd3Pd. The functional is PBE-GGA.

* E above lowest polymorph: 0.050 eV/atom
* uncorrected energy: -11.23 eV per formula unit
* Fermi-level density of states: 4.9 states/eV per cell
* formation enthalpy at 0 K: -0.32 eV per atom

Cell and atoms, written as CIF:
```
data_SrCd3Pd
_symmetry_space_group_name_H-M 'P 63/m m c'
_symmetry_Int_Tables_number 194
_symmetry_space_group_name_Hall '-P 6c 2c'
_cell_length_a 7.0050
_cell_length_b 7.0050
_cell_length_c 5.9901
_cell_angle_alpha 90.00
_cell_angle_beta 90.00
_cell_angle_gamma 120.00
loop_
_atom_site_label
_atom_site_type_symbol
_atom_site_fract_x
_atom_site_fract_y
_atom_site_fract_z
Sr1 Sr 0.3333 0.6667 0.2500
Cd1 Cd 0.1898 0.3796 0.7500
Pd1 Pd 0.0000 0.0000 0.0000
```